P:
{"formula": "AlRuF2", "functional": "PBE", "state": "optimized geometry", "spacegroup": "R-3m", "n_ef_per_ev_cell": 7.1, "vol_a3_per_atom": 13.4, "lattice": [[3.237, 0.000, 0.000], [-1.618, 2.803, 0.000], [0.000, 0.000, 17.741]], "species": ["Al", "Al", "Al", "Ru", "Ru", "Ru", "F", "F", "F", "F", "F", "F"], "frac_coords": [[0.000, 0.000, 0.000], [0.333, 0.667, 0.667], [0.667, 0.333, 0.333], [0.000, 0.000, 0.500], [0.333, 0.667, 0.167], [0.667, 0.333, 0.833], [0.000, 0.000, 0.372], [0.000, 0.000, 0.628], [0.333, 0.667, 0.039], [0.333, 0.667, 0.295], [0.667, 0.333, 0.705], [0.667, 0.333, 0.961]]}

=====

Q:
{"formula": "AlRuF2", "functional": "PBE", "state": "optimized geometry", "spacegroup": "I-42d", "n_ef_per_ev_cell": 10.4, "vol_a3_per_atom": 16.0, "lattice": [[5.629, 0.000, 0.000], [0.000, 5.629, 0.000], [0.000, 0.000, 8.101]], "species": ["Al", "Al", "Al", "Al", "Ru", "Ru", "Ru", "Ru", "F", "F", "F", "F", "F", "F", "F", "F"], "frac_coords": [[0.000, 0.000, 0.000], [0.000, 0.500, 0.250], [0.500, 0.000, 0.750], [0.500, 0.500, 0.500], [0.000, 0.000, 0.500], [0.000, 0.500, 0.750], [0.500, 0.000, 0.250], [0.500, 0.500, 0.000], [0.026, 0.250, 0.125], [0.250, 0.526, 0.375], [0.250, 0.974, 0.875], [0.474, 0.250, 0.625], [0.526, 0.750, 0.625], [0.750, 0.026, 0.875], [0.750, 0.474, 0.375], [0.974, 0.750, 0.125]]}

=====

R:
{"formula": "AlRuF2", "functional": "PBE", "state": "optimized geometry", "spacegroup": "R-3m", "n_ef_per_ev_cell": 5.8, "vol_a3_per_atom": 12.5, "lattice": [[2.727, 0.000, 0.000], [-1.364, 2.362, 0.000], [0.000, 0.000, 23.300]], "species": ["Al", "Al", "Al", "Ru", "Ru", "Ru", "F", "F", "F", "F", "F", "F"], "frac_coords": [[0.000, 0.000, 0.000], [0.333, 0.667, 0.667], [0.667, 0.333, 0.333], [0.000, 0.000, 0.500], [0.333, 0.667, 0.167], [0.667, 0.333, 0.833], [0.000, 0.000, 0.079], [0.000, 0.000, 0.921], [0.333, 0.667, 0.588], [0.333, 0.667, 0.745], [0.667, 0.333, 0.255], [0.667, 0.333, 0.412]]}

=====

S:
{"formula": "AlRuF2", "functional": "PBE", "state": "optimized geometry", "spacegroup": "Fm-3m", "n_ef_per_ev_cell": 9.9, "vol_a3_per_atom": 13.0, "lattice": [[5.918, 0.000, 0.000], [0.000, 5.918, 0.000], [0.000, 0.000, 5.918]], "species": ["Al", "Al", "Al", "Al", "Ru", "Ru", "Ru", "Ru", "F", "F", "F", "F", "F", "F", "F", "F"], "frac_coords": [[0.000, 0.000, 0.000], [0.000, 0.500, 0.500], [0.500, 0.000, 0.500], [0.500, 0.500, 0.000], [0.000, 0.000, 0.500], [0.000, 0.500, 0.000], [0.500, 0.000, 0.000], [0.500, 0.500, 0.500], [0.250, 0.250, 0.250], [0.250, 0.250, 0.750], [0.250, 0.750, 0.250], [0.250, 0.750, 0.750], [0.750, 0.250, 0.250], [0.750, 0.250, 0.750], [0.750, 0.750, 0.250], [0.750, 0.750, 0.750]]}

=====

Result of the stability comparison: R is the most stable of them.

=====

P:
{"formula": "AlS3F", "functional": "PBE", "state": "optimized geometry", "spacegroup": "Pm-3m", "n_ef_per_ev_cell": 6.5, "vol_a3_per_atom": 18.3, "lattice": [[4.509, 0.000, 0.000], [0.000, 4.509, 0.000], [0.000, 0.000, 4.509]], "species": ["Al", "S", "S", "S", "F"], "frac_coords": [[0.000, 0.000, 0.000], [0.000, 0.000, 0.500], [0.000, 0.500, 0.000], [0.500, 0.000, 0.000], [0.500, 0.500, 0.500]]}

=====

Q:
{"formula": "AlS3F", "functional": "PBE", "state": "optimized geometry", "spacegroup": "Pm-3m", "n_ef_per_ev_cell": 3.0, "vol_a3_per_atom": 16.8, "lattice": [[4.383, 0.000, 0.000], [0.000, 4.383, 0.000], [0.000, 0.000, 4.383]], "species": ["Al", "S", "S", "S", "F"], "frac_coords": [[0.000, 0.000, 0.000], [0.000, 0.500, 0.500], [0.500, 0.000, 0.500], [0.500, 0.500, 0.000], [0.500, 0.500, 0.500]]}

=====

Result of the stability comparison: P is the most stable of them.

=====

P:
{"formula": "AlSF", "functional": "PBE", "state": "optimized geometry", "spacegroup": "P-6m2", "n_ef_per_ev_cell": 0.0, "vol_a3_per_atom": 17.2, "lattice": [[3.988, 0.000, 0.000], [-1.994, 3.454, 0.000], [0.000, 0.000, 3.744]], "species": ["Al", "S", "F"], "frac_coords": [[0.000, 0.000, 0.000], [0.667, 0.333, 0.000], [0.000, 0.000, 0.500]]}

=====

Q:
{"formula": "AlSF", "functional": "PBE", "state": "optimized geometry", "spacegroup": "Cmcm", "n_ef_per_ev_cell": 0.0, "vol_a3_per_atom": 16.6, "lattice": [[3.164, 0.000, 0.000], [0.000, 13.067, 0.000], [0.000, 0.000, 4.818]], "species": ["Al", "Al", "Al", "Al", "S", "S", "S", "S", "F", "F", "F", "F"], "frac_coords": [[0.000, 0.178, 0.250], [0.000, 0.822, 0.750], [0.500, 0.322, 0.750], [0.500, 0.678, 0.250], [0.000, 0.187, 0.750], [0.000, 0.813, 0.250], [0.500, 0.313, 0.250], [0.500, 0.687, 0.750], [0.000, 0.406, 0.750], [0.000, 0.594, 0.250], [0.500, 0.094, 0.250], [0.500, 0.906, 0.750]]}

=====

R:
{"formula": "AlSF", "functional": "PBE", "state": "optimized geometry", "spacegroup": "P2_1/m", "n_ef_per_ev_cell": 0.0, "vol_a3_per_atom": 22.2, "lattice": [[5.604, 0.000, 0.000], [0.000, 3.634, 0.000], [-1.326, 0.000, 6.542]], "species": ["Al", "Al", "S", "S", "F", "F"], "frac_coords": [[0.012, 0.250, 0.322], [0.988, 0.750, 0.678], [0.230, 0.250, 0.659], [0.770, 0.750, 0.341], [0.188, 0.250, 0.148], [0.812, 0.750, 0.852]]}

=====

Result of the stability comparison: R is the most stable of them.